Entry 1:
A relaxed structure of RbP2Cl2. Source: the Alexandria database, functional PBE.

a b c (Å): 3.5338 3.5338 9.7048
angles (deg): 79.51 79.51 90.00
Element x y z (fractional)
Cl 0.6108 0.6108 0.7783
Rb 0.0000 0.0000 0.0000
Cl 0.3892 0.3892 0.2217
P 0.2500 0.7500 0.5000
P 0.7500 0.2500 0.5000

E above lowest polymorph: 0 meV/atom
SG: I4/mmm
Final energy: -3.4218 eV per atom
Formation energy without anion corrections: -326 meV/atom

Entry 2:
A relaxed structure of Rb3PCl6. Source: the Alexandria database, functional PBE.

a b c (Å): 8.1509 10.0879 10.0879
angles (deg): 100.23 90.00 90.00
Last column: magnetic moment on the atom in μB.
Element x y z (fractional)
Cl 0.1865 0.0457 0.9543  0.00
Cl 0.5415 0.9007 0.3458  0.00
Cl 0.0415 0.3458 0.9007  0.00
Cl 0.6925 0.2264 0.7736  0.00
Cl 0.2780 0.6400 0.7091  0.07
Rb 0.4847 0.2639 0.0928  0.00
Rb 0.0556 0.5601 0.4399  0.00
Cl 0.2780 0.2909 0.3600  0.07
Rb 0.9847 0.7361 0.9072  0.00
Cl 0.5415 0.6542 0.0993  0.00
Cl 0.7780 0.7091 0.6400  0.07
Rb 0.5556 0.4399 0.5601  0.00
P 0.9424 0.1539 0.8461  0.00
Cl 0.7780 0.3600 0.2909  0.07
Rb 0.4847 0.9072 0.7361  0.00
Cl 0.0415 0.0993 0.6542  0.00
Cl 0.6865 0.9543 0.0457  0.00
Rb 0.9847 0.0928 0.2639  0.00
P 0.4424 0.8461 0.1539  0.00
Cl 0.1925 0.7736 0.2264  0.00

E above lowest polymorph: 0 meV/atom
SG: Cmc2_1
Final energy: -3.3099 eV per atom
Formation energy without anion corrections: -1371 meV/atom

Entry 3:
A relaxed structure of RbP3Cl. Source: the Alexandria database, functional PBE.

a b c (Å): 4.9728 4.9728 4.9728
angles (deg): 90.00 90.00 90.00
Element x y z (fractional)
P 0.0000 0.5000 0.0000
Cl 0.0000 0.0000 0.0000
P 0.0000 0.0000 0.5000
P 0.5000 0.0000 0.0000
Rb 0.5000 0.5000 0.5000

E above lowest polymorph: 0 meV/atom
SG: Pm-3m
Final energy: -2.7656 eV per atom
Formation energy without anion corrections: 1043 meV/atom